[1]
Compound: PrTh2Np
Source: Alexandria
Functional: PBE
Structure: relaxed

Summary:
**Symmetry**: R-3m (166)
**Energy of formation from the pure elements**: 0.87 eV/atom
**Total DFT energy (no corrections)**: -7.269 eV/atom
**Spin magnetization**: 0.00 μB/cell

Lattice parameters (Å, degrees): 10.6788 10.6788 10.6788 20.33 20.33 20.33
Fractional positions:
Pr: 0.0000 0.0000 0.0000
Th: 0.1131 0.1131 0.1131
Th: 0.8869 0.8869 0.8869
Np: 0.5000 0.5000 0.5000

=====

[2]
Compound: PrTm2Np
Source: Alexandria
Functional: PBE
Structure: relaxed

Summary:
**Symmetry**: R-3m (166)
**Energy of formation from the pure elements**: 0.38 eV/atom
**Total DFT energy (no corrections)**: -6.283 eV/atom
**Spin magnetization**: 3.53 μB/cell

Lattice parameters (Å, degrees): 12.3420 12.3420 12.3420 15.64 15.64 15.64
Fractional positions:
Pr: 0.0000 0.0000 0.0000
Tm: 0.0929 0.0929 0.0929
Tm: 0.9071 0.9071 0.9071
Np: 0.5000 0.5000 0.5000

=====

What did the second record say?
Compound: PrTm2Np
Source: Alexandria
Functional: PBE
Structure: relaxed

Summary:
**Symmetry**: R-3m (166)
**Energy of formation from the pure elements**: 0.38 eV/atom
**Total DFT energy (no corrections)**: -6.283 eV/atom
**Spin magnetization**: 3.53 μB/cell

Lattice parameters (Å, degrees): 12.3420 12.3420 12.3420 15.64 15.64 15.64
Fractional positions:
Pr: 0.0000 0.0000 0.0000
Tm: 0.0929 0.0929 0.0929
Tm: 0.9071 0.9071 0.9071
Np: 0.5000 0.5000 0.5000

=====

Repeat the first record exactly.
Compound: PrTh2Np
Source: Alexandria
Functional: PBE
Structure: relaxed

Summary:
**Symmetry**: R-3m (166)
**Energy of formation from the pure elements**: 0.87 eV/atom
**Total DFT energy (no corrections)**: -7.269 eV/atom
**Spin magnetization**: 0.00 μB/cell

Lattice parameters (Å, degrees): 10.6788 10.6788 10.6788 20.33 20.33 20.33
Fractional positions:
Pr: 0.0000 0.0000 0.0000
Th: 0.1131 0.1131 0.1131
Th: 0.8869 0.8869 0.8869
Np: 0.5000 0.5000 0.5000